[1]
## RuPtW2 (PBE-GGA)

Data for crystalline RuPtW2 at its relaxed geometry.

The structure in POSCAR format:
```
RuPtW2
1.0
4.807 0.001 0.011
3.991 2.680 0.011
0.811 0.247 4.789
Pt Ru W
1 1 2
Cartesian
4.795 1.461 2.345
7.197 2.193 3.695
0.819 0.249 4.680
2.413 0.735 1.284
```

Properties
- Fermi-level density of states: 3.7 states/eV/cell
- Excess energy over the best structure of this formula in the dataset: 129 meV/atom
- Formation energy from the elements: -42 meV per atom

***

[2]
## AlTcOs2 (PBE-GGA)

Data for crystalline AlTcOs2 at its relaxed geometry.

The structure in POSCAR format:
```
AlTcOs2
1.0
-1.056 -2.257 -1.100
1.250 -0.300 2.401
-7.575 1.530 4.135
Os Tc Al
2 1 1
Cartesian
-7.510 1.517 4.100
-1.819 -0.892 1.697
-3.819 0.771 2.085
-5.595 -0.129 3.759
```

Properties
- Fermi-level density of states: 4.6 states/eV/cell
- Formation energy from the elements: 256 meV per atom

***

[3]
## RbDyPb2 (PBE-GGA)

Data for crystalline RbDyPb2 at its relaxed geometry.

The structure in POSCAR format:
```
RbDyPb2
1.0
3.811 0.000 0.000
1.906 3.301 0.000
1.906 1.100 11.101
Pb Rb Dy
2 1 1
Cartesian
5.717 3.301 8.609
1.906 1.100 2.492
3.811 2.201 5.550
0.000 0.000 0.000
```

Properties
- Fermi-level density of states: 1.8 states/eV/cell
- Excess energy over the best structure of this formula in the dataset: 141 meV/atom
- Formation energy from the elements: -157 meV per atom

***

[4]
## K2HgTe2 (PBE-GGA)

Data for crystalline K2HgTe2 at its relaxed geometry.

The structure in POSCAR format:
```
K2HgTe2
1.0
-3.679 4.606 9.020
1.891 -9.116 5.426
2.999 1.035 0.694
K Te Hg
4 4 2
Cartesian
0.306 -6.170 7.879
-1.940 -1.906 11.221
-2.094 1.661 6.568
0.152 -2.603 3.225
2.170 -4.733 5.281
0.695 -4.185 10.836
-0.959 1.260 9.859
0.516 0.711 4.305
0.000 0.000 0.000
-0.894 -2.255 7.223
```

Properties
- Fermi-level density of states: 7.9 states/eV/cell
- Formation energy (no corrections): -0.53 eV per atom

***

[5]
## Zn2GaPt3 (PBE-GGA)

Data for crystalline Zn2GaPt3 at its relaxed geometry.

The structure in POSCAR format:
```
Zn2GaPt3
1.0
4.051 0.000 0.017
2.025 6.079 0.008
-0.030 0.000 7.211
Zn Ga Pt
4 2 6
Cartesian
0.000 0.000 0.000
-0.015 0.000 3.606
2.010 2.048 3.614
4.036 4.031 3.622
2.025 1.962 0.008
4.051 4.117 0.017
4.028 2.036 5.484
2.018 0.000 1.830
2.018 4.043 1.752
4.044 2.036 1.760
2.003 4.043 5.476
2.003 0.000 5.397
```

Properties
- Fermi-level density of states: 2.0 states/eV/cell
- Excess energy over the best structure of this formula in the dataset: 0 meV/atom
- Formation energy from the elements: -579 meV per atom

***

[6]
## Ti4Tc3Rh2 (PBE-GGA)

Data for crystalline Ti4Tc3Rh2 at its relaxed geometry.

The structure in POSCAR format:
```
Ti4Tc3Rh2
1.0
4.356 0.000 0.001
2.178 3.770 0.143
-0.001 -0.311 8.161
Ti Tc Rh
4 3 2
Cartesian
4.355 2.238 7.352
2.177 3.667 2.834
4.356 -0.208 5.471
2.178 1.222 0.953
2.178 1.121 3.627
0.000 0.000 0.000
4.355 2.339 4.678
2.177 1.013 6.445
4.356 2.446 1.861
```

Properties
- Fermi-level density of states: 7.7 states/eV/cell
- Formation energy from the elements: -541 meV per atom

***

[7]
## Cu2IrBr (PBE-GGA)

Data for crystalline Cu2IrBr at its relaxed geometry.

The structure in POSCAR format:
```
Cu2IrBr
1.0
8.082 0.001 0.000
7.513 2.981 0.000
7.513 1.436 2.612
Br Cu Ir
1 2 1
Cartesian
17.330 3.313 1.959
23.044 4.405 2.605
11.617 2.221 1.313
5.777 1.104 0.653
```

Properties
- Fermi-level density of states: 4.3 states/eV/cell
- Formation energy (no corrections): 0.45 eV per atom
- Excess energy over the best structure of this formula in the dataset: 53 meV/atom

***

[8]
## Cs2I6BrN (PBE-GGA)

Data for crystalline Cs2I6BrN at its relaxed geometry.

The structure in POSCAR format:
```
Cs2I6BrN
1.0
-5.857 2.733 5.225
-3.448 -7.562 0.090
-1.432 -3.831 7.009
Cs I Br N
2 6 1 1
Cartesian
-5.971 -1.756 7.446
-4.766 -6.904 4.878
-3.167 -3.068 4.665
-7.570 -5.592 7.659
-2.576 -1.337 1.472
-6.729 -3.492 3.844
-5.190 -0.117 3.803
-4.115 -4.712 1.512
0.000 0.000 0.000
-4.653 -2.414 2.658
```

Properties
- Fermi-level density of states: 5.2 states/eV/cell
- Formation energy (no corrections): -0.17 eV per atom

***

> Which value of Fermi-level density of states does entry 1 give?

3.7 states/eV/cell

***

> What is the Fermi-level density of states in the fifth record?

2.0 states/eV/cell

***

Repeat the fourth record exactly.
## K2HgTe2 (PBE-GGA)

Data for crystalline K2HgTe2 at its relaxed geometry.

The structure in POSCAR format:
```
K2HgTe2
1.0
-3.679 4.606 9.020
1.891 -9.116 5.426
2.999 1.035 0.694
K Te Hg
4 4 2
Cartesian
0.306 -6.170 7.879
-1.940 -1.906 11.221
-2.094 1.661 6.568
0.152 -2.603 3.225
2.170 -4.733 5.281
0.695 -4.185 10.836
-0.959 1.260 9.859
0.516 0.711 4.305
0.000 0.000 0.000
-0.894 -2.255 7.223
```

Properties
- Fermi-level density of states: 7.9 states/eV/cell
- Formation energy (no corrections): -0.53 eV per atom

***

> Which value of Fermi-level density of states does entry 3 give?

1.8 states/eV/cell